Entry from Alexandria via LeMat-Bulk: a geometry-optimized YAl2GaNi4 structure (PBE-GGA).

```
8
Lattice="-2.7570 2.2007 2.0312 -3.2517 -1.8205 1.6377 2.1552 -1.0633 8.1561" Properties=species:S:1:pos:R:3 pbc="T T T"
Al -0.8459 -0.2044 3.1521
Al -3.0076 -0.4787 8.6730
Y 0.0000 0.0000 0.0000
Ni -3.1194 -0.0002 3.9239
Ni -4.3565 -0.0926 6.4238
Ni -0.7341 -0.6829 7.9012
Ni 0.5030 -0.5904 5.4013
Ga -1.9268 -0.3415 5.9125
```

Values from the calculation:
symmetry	R-3m (166)
ρ	6.3	g/cm³
magnetic moment	0.00	μB/f.u.
DOS(E_F)	0.36	states/eV/atom
DFT formation energy	-519	meV/atom